No. 1
A relaxed structure of Ti12Mo6Rh. Source: Alexandria via LeMat-Bulk, functional GGA-PBE.

Lattice parameters (Å, degrees): 9.4763 9.4763 12.3112 90.00 90.00 120.00
Space group R-3 (No. 148, hexagonal axes)
Unique sites:
1 Ti 0.0340 0.1860 0.3071 (multiplicity 18)
2 Ti 0.0599 0.8407 0.9169 (multiplicity 18)
3 Mo 0.0270 0.4300 0.2031 (multiplicity 18)
4 Rh 0.0000 0.0000 0.5000 (multiplicity 3)

Properties
- E_tot: -503.02 eV/cell
- Volume: 957.4 Å³ per cell


No. 2
A relaxed structure of Ac2OsC. Source: Alexandria via LeMat-Bulk, functional GGA-PBE.

Lattice parameters (Å, degrees): 3.945 3.980 8.045 104.31 104.10 90.10
Space group P-1 (No. 2)
Unique sites:
1 Ac 0.121 0.121 0.243 (multiplicity 2)
2 Os 0.500 0.500 0.000 (multiplicity 1)
3 C 0.000 0.500 0.000 (multiplicity 1)

Properties
- E_tot: -28.89 eV/cell
- Volume: 118.4 Å³ per cell


No. 3
A relaxed structure of NaTl2Bi4. Source: Alexandria via LeMat-Bulk, functional GGA-PBE.

Lattice parameters (Å, degrees): 9.190 10.929 6.642 90.00 133.30 90.00
Space group C2 (No. 5)
Unique sites:
1 Na 0.000 0.000 0.000 (multiplicity 2)
2 Tl 0.000 0.509 0.000 (multiplicity 2)
3 Tl 0.000 0.510 0.500 (multiplicity 2)
4 Bi 0.234 0.258 0.482 (multiplicity 4)
5 Bi 0.238 0.254 0.983 (multiplicity 4)

Properties
- E_tot: -43.67 eV/cell
- Volume: 485.5 Å³ per cell